## PbBr2O6 (PBE)

Data for a relaxed structure of PbBr2O6.

a = 15.3963 Å, b = 6.1943 Å, c = 6.2258 Å
α = 90.00°, β = 90.00°, γ = 90.00°
Closest atoms and distances in Å follow each position.
Space group Pbcn (No. 60)
Inequivalent atoms, fractional coordinates:
Pb: 0.0000 0.2295 0.2500 [4 per cell]  8 O 2.61-2.83
Br: 0.1547 0.2814 0.7235 [8 per cell]  3 O 1.65-1.73
O: 0.0831 0.1056 0.6008 [8 per cell]  1 Br 1.73
O: 0.0903 0.4076 0.9120 [8 per cell]  1 Br 1.72
O: 0.2233 0.1281 0.8588 [8 per cell]  1 Br 1.65

Polymorph energy (0 for the lowest one) (meV per atom): 13.6
Crystal system: orthorhombic
Energy relative to the elements, uncorrected (meV per atom): -165
N(E_F) (states/eV/f.u.): 0.00

---

## Pb3Br2O2 (PBE)

Data for a relaxed structure of Pb3Br2O2.

a = 3.7796 Å, b = 6.4305 Å, c = 8.3035 Å
α = 80.32°, β = 89.95°, γ = 72.92°
Closest atoms and distances in Å follow each position.
Space group P-1 (No. 2)
Inequivalent atoms, fractional coordinates:
Pb: 0.0000 0.0000 0.0000 [1 per cell]  4 O 2.67
Pb: 0.2228 0.5556 0.8027 [2 per cell]  3 O 2.31-2.57
Br: 0.1168 0.7654 0.3503 [2 per cell]  3 Pb 3.01-3.16
O: 0.3531 0.2938 0.0388 [2 per cell]  3 Pb 2.31-2.57

Polymorph energy (0 for the lowest one) (meV per atom): 140.3
Crystal system: triclinic
Energy relative to the elements, uncorrected (meV per atom): -962
N(E_F) (states/eV/f.u.): 0.00

---

## PmPbBrO2 (PBE)

Data for a relaxed structure of PmPbBrO2.

a = 7.0771 Å, b = 4.0973 Å, c = 8.4117 Å
α = 90.00°, β = 107.49°, γ = 90.00°
Closest atoms and distances in Å follow each position.
Space group P2_1/m (No. 11)
Inequivalent atoms, fractional coordinates:
Pm: 0.1562 0.2500 0.4090 [2 per cell]  4 O 2.29-2.33
Pb: 0.1780 0.2500 0.9292 [2 per cell]  4 O 2.36-2.56
Br: 0.4499 0.7500 0.2994 [2 per cell]  3 Pm 3.11-3.24, 1 O 3.46
O: 0.9995 0.2500 0.6159 [2 per cell]  3 Pm 2.31-2.33, 1 Pb 2.56
O: 0.0023 0.2500 0.1273 [2 per cell]  1 Pm 2.29, 3 Pb 2.36-2.38

Crystal system: monoclinic
Energy relative to the elements, uncorrected (meV per atom): -2212
N(E_F) (states/eV/f.u.): 0.00